An optimized crystal structure of CdCu3O4. Source: Alexandria via LeMat-Bulk, functional GGA-PBE.

Results
**E_form (uncorrected)**: -0.650 eV per atom
**Electronic total energy**: -38.24 eV/f.u.
**Density of states at the Fermi level**: 0.442 states/eV per atom
**V**: 176 Å³ per cell

CIF file:
```
data_CdCu3O4
_chemical_formula_sum 'Cd2 Cu6 O8'
_cell_length_a 5.6051
_cell_length_b 5.6051
_cell_length_c 5.6051
_cell_angle_alpha 90.00
_cell_angle_beta 90.00
_cell_angle_gamma 90.00
_space_group_name_H-M_alt 'P m -3 n'
_space_group_IT_number 223
_space_group_name_Hall '-P 4n 2 3'
loop_
_atom_site_label
_atom_site_type_symbol
_atom_site_fract_x
_atom_site_fract_y
_atom_site_fract_z
Cd1 Cd 0.0000 0.0000 0.0000
Cu1 Cu 0.0000 0.2500 0.5000
O1 O 0.2500 0.2500 0.2500
```